[1]
Below is an optimized crystal structure of AlIn2Ga2, with properties calculated at the PBE-GGA level.

a b c (Å): 5.4674 5.4674 4.9041
angles (deg): 90.00 90.00 90.00
Closest atoms and distances in Å follow each position.
Space group P4/mmm (No. 123)
One atom of each set of equivalent atoms:
Al  0.0000  0.0000  0.0000 x1  2 Ga 2.45, 4 In 2.73
In  0.0000  0.5000  0.0000 x2  2 Al 2.73
Ga  0.0000  0.0000  0.5000 x1  2 Al 2.45
Ga  0.5000  0.5000  0.5000 x1  8 In 3.67, 4 Ga 3.87

energy above the most stable polymorph in this dataset: 313.3 meV per atom
ΔH_f (0 K): 0.41 eV per atom


[2]
Below is an optimized crystal structure of AlIn2Ga, with properties calculated at the PBE-GGA level.

a b c (Å): 7.9419 7.9419 6.0445
angles (deg): 90.00 90.00 90.00
Closest atoms and distances in Å follow each position.
Space group I-42d (No. 122)
One atom of each set of equivalent atoms:
Al  0.0000  0.0000  0.0000 x4  4 In 2.90, 2 Ga 3.02
In  0.2495  0.2500  0.1250 x8  2 Al 2.90, 2 Ga 2.91, 2 In 3.02
Ga  0.0000  0.0000  0.5000 x4  4 In 2.91, 2 Al 3.02

energy above the most stable polymorph in this dataset: 67.6 meV per atom
ΔH_f (0 K): 0.19 eV per atom


[3]
Below is an optimized crystal structure of Al3InGa, with properties calculated at the PBE-GGA level.

a b c (Å): 5.2362 5.2362 5.2362
angles (deg): 90.00 90.00 90.00
Closest atoms and distances in Å follow each position.
Space group Pm-3m (No. 221)
One atom of each set of equivalent atoms:
Al  0.0000  0.0000  0.5000 x3  2 In 2.62
In  0.0000  0.0000  0.0000 x1  6 Al 2.62
Ga  0.5000  0.5000  0.5000 x1  12 Al 3.70

energy above the most stable polymorph in this dataset: 374.3 meV per atom
ΔH_f (0 K): 0.86 eV per atom


[4]
Below is an optimized crystal structure of Al3InGa3, with properties calculated at the PBE-GGA level.

a b c (Å): 7.1943 7.1943 7.1943
angles (deg): 90.00 90.00 90.00
Closest atoms and distances in Å follow each position.
Space group Pm-3n (No. 223)
One atom of each set of equivalent atoms:
Al  0.0000  0.2500  0.5000 x6  4 Ga 2.54
In  0.0000  0.0000  0.0000 x2  12 Al 4.02, 12 Ga 4.02
Ga  0.0000  0.5000  0.2500 x6  4 Al 2.54

ΔH_f (0 K): 0.40 eV per atom


[5]
Below is an optimized crystal structure of AlInGa2, with properties calculated at the PBE-GGA level.

a b c (Å): 3.0681 3.1480 8.6243
angles (deg): 90.00 90.00 90.00
Closest atoms and distances in Å follow each position.
Space group Pmmm (No. 47)
One atom of each set of equivalent atoms:
Al  0.0000  0.0000  0.0000 x1  8 Ga 2.81, 2 Al 3.07
In  0.5000  0.0000  0.5000 x1  4 Ga 3.01, 4 In 3.07-3.15
Ga  0.5000  0.5000  0.2029 x2  4 Al 2.81, 2 In 3.01, 2 Ga 3.07

energy above the most stable polymorph in this dataset: 0.0 meV per atom
ΔH_f (0 K): 0.04 eV per atom


[6]
Below is an optimized crystal structure of AlIn3Ga8, with properties calculated at the PBE-GGA level.

a b c (Å): 7.5401 7.5401 9.8781
angles (deg): 90.00 90.00 90.00
Closest atoms and distances in Å follow each position.
Space group I-42m (No. 121)
One atom of each set of equivalent atoms:
Al  0.0000  0.0000  0.0000 x2  8 Ga 2.61-2.63
In  0.0000  0.0000  0.5000 x2  8 Ga 2.80-3.11
In  0.0000  0.5000  0.2500 x4  4 Ga 2.94
Ga  0.1365  0.1365  0.7783 x8  1 Al 2.63, 3 Ga 2.65-2.91, 2 In 2.94
Ga  0.2409  0.2409  0.0453 x8  1 Al 2.61, 2 Ga 2.65-2.86, 1 In 2.80

ΔH_f (0 K): 0.16 eV per atom


[7]
Below is an optimized crystal structure of AlInGa2, with properties calculated at the PBE-GGA level.

a b c (Å): 4.3388 4.3388 4.2780
angles (deg): 90.00 90.00 90.00
Closest atoms and distances in Å follow each position.
Space group P4/mmm (No. 123)
One atom of each set of equivalent atoms:
Al  0.0000  0.0000  0.0000 x1  8 Ga 3.05, 4 In 3.07
In  0.5000  0.5000  0.0000 x1  8 Ga 3.05, 4 Al 3.07
Ga  0.0000  0.5000  0.5000 x2  4 In 3.05, 4 Al 3.05, 4 Ga 3.07

energy above the most stable polymorph in this dataset: 57.4 meV per atom
ΔH_f (0 K): 0.10 eV per atom


[8]
Below is an optimized crystal structure of AlIn2Ga2, with properties calculated at the PBE-GGA level.

a b c (Å): 7.8932 7.8932 3.7368
angles (deg): 90.00 90.00 90.00
Closest atoms and distances in Å follow each position.
Space group P4/mbm (No. 127)
One atom of each set of equivalent atoms:
Al  0.0000  0.0000  0.0000 x2  4 In 3.03
In  0.1441  0.3559  0.0000 x4  6 Ga 2.89-3.04, 2 Al 3.03, 1 In 3.22
Ga  0.1589  0.6589  0.5000 x4  6 In 2.89-3.04

energy above the most stable polymorph in this dataset: 118.1 meV per atom
ΔH_f (0 K): 0.21 eV per atom


[9]
Below is an optimized crystal structure of AlIn2Ga, with properties calculated at the PBE-GGA level.

a b c (Å): 3.2975 3.2975 8.3542
angles (deg): 90.00 90.00 90.00
Closest atoms and distances in Å follow each position.
Space group P4/mmm (No. 123)
One atom of each set of equivalent atoms:
Al  0.0000  0.0000  0.0000 x1  8 In 3.10, 4 Al 3.30
In  0.5000  0.5000  0.2452 x2  4 Al 3.10, 4 Ga 3.16, 4 In 3.30
Ga  0.0000  0.0000  0.5000 x1  8 In 3.16, 4 Ga 3.30

energy above the most stable polymorph in this dataset: 0.0 meV per atom
ΔH_f (0 K): 0.12 eV per atom


[10]
Below is an optimized crystal structure of AlIn3Ga12, with properties calculated at the PBE-GGA level.

a b c (Å): 4.1796 4.1796 18.4219
angles (deg): 90.00 90.00 90.00
Closest atoms and distances in Å follow each position.
Space group P4/mmm (No. 123)
One atom of each set of equivalent atoms:
Al  0.0000  0.0000  0.0000 x1  12 Ga 2.96-2.98
In  0.0000  0.0000  0.2450 x2  12 Ga 2.96-3.17
In  0.0000  0.0000  0.5000 x1  12 Ga 2.96-3.14
Ga  0.0000  0.5000  0.1154 x4  8 Ga 2.96-3.18, 2 Al 2.98, 2 In 3.17
Ga  0.0000  0.5000  0.3729 x4  8 Ga 2.96-3.14, 4 In 3.14-3.15
Ga  0.5000  0.5000  0.0000 x1  4 Al 2.96, 8 Ga 2.98
Ga  0.5000  0.5000  0.2457 x2  4 In 2.96, 8 Ga 3.14-3.18
Ga  0.5000  0.5000  0.5000 x1  4 In 2.96, 8 Ga 3.14

ΔH_f (0 K): 0.05 eV per atom


[11]
Below is an optimized crystal structure of AlInGa2, with properties calculated at the PBE-GGA level.

a b c (Å): 7.7731 7.7731 5.7190
angles (deg): 90.00 90.00 90.00
Closest atoms and distances in Å follow each position.
Space group I-42d (No. 122)
One atom of each set of equivalent atoms:
Al  0.0000  0.0000  0.0000 x4  4 Ga 2.68, 2 In 2.86
In  0.0000  0.0000  0.5000 x4  2 Al 2.86, 4 Ga 3.01
Ga  0.2195  0.2500  0.1250 x8  2 Al 2.68, 2 Ga 2.90

energy above the most stable polymorph in this dataset: 93.6 meV per atom
ΔH_f (0 K): 0.14 eV per atom


[12]
Below is an optimized crystal structure of AlInGa4, with properties calculated at the PBE-GGA level.

a b c (Å): 12.0316 8.4193 5.0002
angles (deg): 90.00 100.03 90.00
Closest atoms and distances in Å follow each position.
Space group C2/m (No. 12)
One atom of each set of equivalent atoms:
Al  0.0603  0.0000  0.2717 x4  7 Ga 2.72-2.95, 2 Al 2.85-2.91
In  0.1818  0.5000  0.5877 x4  6 Ga 2.86-3.09, 1 Al 3.06
Ga  0.0000  0.2730  0.5000 x4  2 Al 2.72, 2 In 2.88, 4 Ga 2.89-2.93
Ga  0.1253  0.2861  0.0489 x8  5 Ga 2.78-2.97, 1 Al 2.82, 1 In 3.09
Ga  0.1854  0.0000  0.8348 x4  4 Ga 2.78-2.88, 3 Al 2.86-2.95, 2 In 2.86-3.05

energy above the most stable polymorph in this dataset: 0.7 meV per atom
ΔH_f (0 K): 0.05 eV per atom


| no. | volume (A^3/atom) |
| --- | --- |
| 1 | 29.32 |
| 2 | 23.83 |
| 3 | 28.71 |
| 4 | 26.60 |
| 5 | 20.82 |
| 6 | 23.40 |
| 7 | 20.13 |
| 8 | 23.28 |
| 9 | 22.71 |
| 10 | 20.11 |
| 11 | 21.60 |
| 12 | 20.78 |